HfV3O: relaxed, PBE with a Hubbard U.

Unit cell a=4.923 b=4.923 c=4.923 alpha=90.00 beta=90.00 gamma=90.00
Fractional coordinates of all 5 atoms:
Hf  0.000  0.000  0.000
O  0.500  0.500  0.500
V  0.000  0.500  0.000
V  0.000  0.000  0.500
V  0.500  0.000  0.000

Calculated values
* excess energy over the best structure of this formula in the dataset: 11.74 eV/f.u.
* symmetry: Pm-3m (221)
* DOS at the Fermi energy: 5.63 states/eV/f.u.
* E_tot: -4.92 eV/atom